Below is InHg3 at its PBEsol-relaxed geometry, with properties calculated at the SCAN level.

Calculated values
formation energy	21	meV/atom

Lattice parameters (Å, degrees): 5.4624 6.0878 5.7347 90.00 90.00 90.00
With the nearest neighbours (Å) after each atom.
Space group Pmmn (No. 59, origin choice 2)
Unique sites:
In 0.2500 0.2500 0.1506 (multiplicity 2)  12 Hg 3.04-3.33
Hg 0.2500 0.9999 0.6506 (multiplicity 4)  8 Hg 3.04-3.32, 4 In 3.25-3.33
Hg 0.2500 0.7500 0.1545 (multiplicity 2)  4 In 3.04-3.24, 8 Hg 3.23-3.32

---

Below is YCoBi2Te at its PBEsol-relaxed geometry, with properties calculated at the SCAN level.

Calculated values
E_form (uncorrected)	12.4	kJ/mol of formula units

Lattice parameters (Å, degrees): 4.9606 4.9606 5.3131 90.00 90.00 90.00
With the nearest neighbours (Å) after each atom.
Space group P4/mmm (No. 123)
Unique sites:
Y 0.0000 0.0000 0.0000 (multiplicity 1)  4 Te 3.51, 8 Bi 3.63
Co 0.5000 0.5000 0.5000 (multiplicity 1)  4 Bi 2.48, 2 Te 2.66
Bi 0.0000 0.5000 0.5000 (multiplicity 2)  2 Co 2.48
Te 0.5000 0.5000 0.0000 (multiplicity 1)  2 Co 2.66

---

no.,mass density (Mg/m³)
1,12.480
2,8.807